DFT (PBE) results for a relaxed Tl2In3Hg7 crystal.

Formation energy from the elements in eV per atom: 0.029
Magnetic moment in μB per cell: 0.00

Structure (POSCAR):
```
Tl2In3Hg7
1.0
5.0347 0.0000 0.0000
0.0000 3.4778 0.0000
-2.4814 0.0000 19.3930
Tl In Hg
2 3 7
direct
0.1494 0.0000 0.2925
0.8506 0.0000 0.7075
0.0000 0.0000 0.0000
0.3079 0.5000 0.6128
0.6921 0.5000 0.3872
0.0729 0.5000 0.1357
0.2278 0.0000 0.4561
0.4025 0.0000 0.8129
0.5000 0.5000 0.0000
0.5975 0.0000 0.1871
0.7722 0.0000 0.5439
0.9271 0.5000 0.8643
```



DFT (PBE) results for a relaxed KPrRhO3 crystal.

Magnetic moment in μB per cell: 0.00
Energy relative to the elements, uncorrected in eV/atom: -1.9112

Structure (POSCAR):
```
KPrRhO3
1.0
6.7793 -1.9316 0.0000
6.7793 1.9316 0.0000
-2.0341 0.0000 7.4474
K Pr Rh O
2 2 2 6
direct
0.1423 0.1423 0.0628
0.8577 0.8577 0.9372
0.1525 0.1525 0.5798
0.8475 0.8475 0.4202
0.4943 0.4943 0.7126
0.5057 0.5057 0.2874
0.0070 0.0070 0.2894
0.3309 0.3309 0.6294
0.3463 0.3463 0.2227
0.6537 0.6537 0.7773
0.6691 0.6691 0.3706
0.9930 0.9930 0.7106
```



DFT (PBE) results for a relaxed Ac2SmHg5 crystal.

Formation energy from the elements in eV per atom: -0.410
Magnetic moment in μB per cell: 0.00

Structure (POSCAR):
```
Ac2SmHg5
1.0
5.4861 0.0000 0.0000
0.0000 5.4861 0.0000
0.0000 0.0000 15.3681
Ac Sm Hg
4 2 10
direct
0.0000 0.0000 0.2331
0.0000 0.0000 0.7669
0.5000 0.5000 0.2669
0.5000 0.5000 0.7331
0.0000 0.0000 0.5000
0.5000 0.5000 0.0000
0.0000 0.0000 0.0000
0.0000 0.5000 0.1123
0.0000 0.5000 0.3877
0.0000 0.5000 0.6123
0.0000 0.5000 0.8877
0.5000 0.0000 0.1123
0.5000 0.0000 0.3877
0.5000 0.0000 0.6123
0.5000 0.0000 0.8877
0.5000 0.5000 0.5000
```



DFT (PBE) results for a relaxed Tb6Y12Tl crystal.

Formation energy from the elements in eV per atom: 0.078
Magnetic moment in μB per cell: 0.00

Structure (POSCAR):
```
Tb6Y12Tl
1.0
5.9389 3.4288 5.0127
-5.9389 3.4288 5.0127
0.0000 -6.8576 5.0127
Tb Y Tl
6 12 1
direct
0.2052 0.5952 0.7587
0.2413 0.7948 0.4048
0.4048 0.2413 0.7948
0.5952 0.7587 0.2052
0.7587 0.2052 0.5952
0.7948 0.4048 0.2413
0.0393 0.2809 0.9342
0.0658 0.9607 0.7191
0.1368 0.3179 0.4868
0.2809 0.9342 0.0393
0.3179 0.4868 0.1368
0.4868 0.1368 0.3179
0.5132 0.8632 0.6821
0.6821 0.5132 0.8632
0.7191 0.0658 0.9607
0.8632 0.6821 0.5132
0.9342 0.0393 0.2809
0.9607 0.7191 0.0658
0.5000 0.5000 0.5000
```